Run w
This record from Alexandria via LeMat-Bulk describes an optimized crystal structure of FeRuSN2. The functional is PBE.

Properties
M_tot = 4.11 μB per formula unit

Cell lengths 3.7364, 3.7364, 5.2084 Å; angles 90.00, 90.00, 90.00 degrees
Last column: nearest neighbours and their distance in Å.
Element x y z (fractional)
Fe 0.0000 0.0000 0.0000  4 S 2.64
Ru 0.5000 0.5000 0.5000  4 N 1.87
S 0.5000 0.5000 0.0000  2 Ru 2.60, 4 Fe 2.64
N 0.0000 0.5000 0.5000  2 Ru 1.87
N 0.5000 0.0000 0.5000  2 Ru 1.87



Run x
This record from Alexandria via LeMat-Bulk describes an optimized crystal structure of FeRuSN2. The functional is PBE.

Properties
M_tot = 0.00 μB per formula unit

Cell lengths 3.5310, 3.5310, 4.8035 Å; angles 90.00, 90.00, 90.00 degrees
Last column: nearest neighbours and their distance in Å.
Element x y z (fractional)
Fe 0.0000 0.0000 0.0000  4 N 1.77
Ru 0.5000 0.5000 0.5000  4 S 2.50
S 0.0000 0.0000 0.5000  2 Fe 2.40, 4 Ru 2.50
N 0.0000 0.5000 0.0000  2 Fe 1.77
N 0.5000 0.0000 0.0000  2 Fe 1.77



Relative energies, in eV/atom, with the most stable structure set to zero: run w 0.000; run x 0.123.



Run w
This record from Alexandria via LeMat-Bulk describes an optimized crystal structure of FeRuS2N. The functional is PBE.

Properties
M_tot = 0.00 μB per formula unit

Cell lengths 4.5361, 4.5361, 3.3216 Å; angles 90.00, 90.00, 90.00 degrees
Last column: nearest neighbours and their distance in Å.
Element x y z (fractional)
Fe 0.0000 0.0000 0.0000  2 N 1.66
Ru 0.5000 0.5000 0.5000  8 S 2.81
S 0.0000 0.5000 0.0000  2 Fe 2.27
S 0.5000 0.0000 0.0000  2 Fe 2.27
N 0.0000 0.0000 0.5000  2 Fe 1.66



Run x
This record from Alexandria via LeMat-Bulk describes an optimized crystal structure of FeRuS2N. The functional is PBE.

Properties
M_tot = 3.71 μB per formula unit

Cell lengths 4.7992, 4.7992, 3.6281 Å; angles 90.00, 90.00, 90.00 degrees
Last column: nearest neighbours and their distance in Å.
Element x y z (fractional)
Fe 0.0000 0.0000 0.0000  8 S 3.01
Ru 0.5000 0.5000 0.5000  2 N 1.81
S 0.0000 0.5000 0.5000  2 Ru 2.40
S 0.5000 0.0000 0.5000  2 Ru 2.40
N 0.5000 0.5000 0.0000  2 Ru 1.81



Relative energies, in eV/atom, with the most stable structure set to zero: run w 0.000; run x 0.019.



Run w
This record from Alexandria via LeMat-Bulk describes an optimized crystal structure of FeRuSe2N. The functional is PBE.

Properties
M_tot = 0.00 μB per formula unit

Cell lengths 4.7819, 4.7819, 3.3253 Å; angles 90.00, 90.00, 90.00 degrees
Last column: nearest neighbours and their distance in Å.
Element x y z (fractional)
Fe 0.0000 0.0000 0.0000  2 N 1.66
Ru 0.5000 0.5000 0.5000  8 Se 2.91
Se 0.0000 0.5000 0.0000  2 Fe 2.39
Se 0.5000 0.0000 0.0000  2 Fe 2.39
N 0.0000 0.0000 0.5000  2 Fe 1.66



Run x
This record from Alexandria via LeMat-Bulk describes an optimized crystal structure of FeRuSe2N. The functional is PBE.

Properties
M_tot = 3.47 μB per formula unit

Cell lengths 5.0708, 5.0708, 3.6211 Å; angles 90.00, 90.00, 90.00 degrees
Last column: nearest neighbours and their distance in Å.
Element x y z (fractional)
Fe 0.0000 0.0000 0.0000  8 Se 3.12
Ru 0.5000 0.5000 0.5000  2 N 1.81
Se 0.0000 0.5000 0.5000  2 Ru 2.54
Se 0.5000 0.0000 0.5000  2 Ru 2.54
N 0.5000 0.5000 0.0000  2 Ru 1.81



Relative energies, in eV/atom, with the most stable structure set to zero: run w 0.000; run x 0.065.